[1]
Material: TaCd2Os
Method: DFT, GGA-PBE
State: optimized geometry

Lattice parameters (Å, degrees): 5.4571 5.4571 5.4571 137.91 137.91 61.04
Fractional positions:
Ta 0.0000 0.0000 0.0000
Cd 0.2500 0.7500 0.5000
Cd 0.7500 0.2500 0.5000
Os 0.5000 0.5000 0.0000

Output
The formation energy is 0.4262 eV/atom. The value obtained for the magnetization is 0.300 μB per formula unit. As for the energy relative to the lowest polymorph listed for this composition: 30.05 kJ per mole of atoms.

***

[2]
Material: TbHg3Pd
Method: DFT, GGA-PBE
State: optimized geometry

Lattice parameters (Å, degrees): 10.1111 10.1111 10.1111 148.43 148.43 45.26
Fractional positions:
Tb 0.1949 0.1949 0.0000
Tb 0.8051 0.8051 0.0000
Hg 0.3748 0.1273 0.7525
Hg 0.3748 0.6223 0.2475
Hg 0.3777 0.6252 0.7525
Hg 0.5572 0.0572 0.5000
Hg 0.8727 0.6252 0.2475
Hg 0.9428 0.4428 0.5000
Pd 0.2500 0.7500 0.5000
Pd 0.5000 0.5000 0.0000

Output
The formation energy is -0.0580 eV/atom. The value obtained for the magnetization is 0.000 μB per formula unit.

***

[3]
Material: KMo2Pt
Method: DFT, GGA-PBE
State: optimized geometry

Lattice parameters (Å, degrees): 2.8390 3.1663 9.2766 90.00 95.04 90.00
Fractional positions:
K 0.0000 0.0000 0.0000
Mo 0.4862 0.5000 0.3479
Mo 0.8496 0.0000 0.5313
Pt 0.4240 0.5000 0.7222

Output
The formation energy is 0.4046 eV/atom. The value obtained for the magnetization is 0.000 μB per formula unit. As for the energy relative to the lowest polymorph listed for this composition: 0.00 kJ per mole of atoms.